1.
Computed, not measured: Zn2Mo after structural relaxation at the PBE-GGA level of DFT.

Computed properties:
As for the crystal system: cubic. The space group is Fm-3m, No. 225. The value obtained for the density of states at the Fermi level is 1.2284 states/eV per atom.

Unit cell a=4.285 b=4.285 c=4.285 alpha=60.00 beta=60.00 gamma=60.00
Element x y z (fractional)
Zn (0.250, 0.250, 0.250)
Zn (0.750, 0.750, 0.750)
Mo (0.000, 0.000, 0.000)



2.
Computed, not measured: Sr3Sb2O after structural relaxation at the PBE-GGA level of DFT.

Computed properties:
The energy relative to the lowest polymorph listed for this composition is 0.000 eV/atom. As for the crystal system: orthorhombic. The calculation puts the raw formation energy at -1.506 eV/atom. The space group is Cmcm, No. 63. The value obtained for the density of states at the Fermi level is 0.0664 states/eV per atom.

Unit cell a=12.900 b=12.900 c=7.292 alpha=90.00 beta=90.00 gamma=162.62
Element x y z (fractional)
Sr (0.092, 0.908, 0.501)
Sr (0.092, 0.908, 0.999)
Sr (0.295, 0.705, 0.750)
Sr (0.705, 0.295, 0.250)
Sr (0.908, 0.092, 0.001)
Sr (0.908, 0.092, 0.499)
Sb (0.320, 0.680, 0.250)
Sb (0.498, 0.502, 0.750)
Sb (0.502, 0.498, 0.250)
Sb (0.680, 0.320, 0.750)
O (0.149, 0.851, 0.250)
O (0.851, 0.149, 0.750)



3.
Computed, not measured: Ac2AlCuS6 after structural relaxation at the PBE-GGA level of DFT.

Computed properties:
As for the crystal system: orthorhombic. The calculation puts the raw formation energy at -1.238 eV/atom. The space group is Pmmn, No. 59.

Unit cell a=6.827 b=9.305 c=7.178 alpha=90.00 beta=90.00 gamma=90.00
Element x y z (fractional)
Ac (0.250, 0.018, 0.171)
Ac (0.250, 0.482, 0.171)
Ac (0.750, 0.518, 0.829)
Ac (0.750, 0.982, 0.829)
Al (0.250, 0.250, 0.719)
Al (0.750, 0.750, 0.281)
Cu (0.250, 0.750, 0.689)
Cu (0.750, 0.250, 0.311)
S (0.000, 0.250, 0.936)
S (0.000, 0.750, 0.064)
S (0.076, 0.250, 0.425)
S (0.250, 0.515, 0.751)
S (0.250, 0.985, 0.751)
S (0.424, 0.250, 0.425)
S (0.500, 0.250, 0.936)
S (0.500, 0.750, 0.064)
S (0.576, 0.750, 0.575)
S (0.750, 0.015, 0.249)
S (0.750, 0.485, 0.249)
S (0.924, 0.750, 0.575)



4.
Computed, not measured: Ca2BiWS after structural relaxation at the PBE-GGA level of DFT.

Computed properties:
As for the crystal system: tetragonal. The calculation puts the raw formation energy at -0.246 eV/atom. The space group is P4/mmm, No. 123. The value obtained for the density of states at the Fermi level is 0.7666 states/eV per atom.

Unit cell a=5.342 b=5.342 c=4.516 alpha=90.00 beta=90.00 gamma=90.00
Element x y z (fractional)
Ca (0.000, 0.500, 0.000)
Ca (0.500, 0.000, 0.000)
Bi (0.000, 0.000, 0.500)
W (0.500, 0.500, 0.500)
S (0.500, 0.500, 0.000)



5.
Computed, not measured: Na2LiBr3 after structural relaxation at the PBE-GGA level of DFT.

Computed properties:
The energy relative to the lowest polymorph listed for this composition is 0.000 eV/atom. As for the crystal system: monoclinic. The calculation puts the raw formation energy at -1.536 eV/atom. The space group is C2/m, No. 12. The value obtained for the density of states at the Fermi level is 0.0000 states/eV per atom.

Unit cell a=7.175 b=7.175 c=7.204 alpha=99.55 beta=99.55 gamma=120.10
Element x y z (fractional)
Na (0.000, 0.000, 0.000)
Na (0.164, 0.836, 0.500)
Na (0.500, 0.500, 0.500)
Na (0.836, 0.164, 0.500)
Li (0.331, 0.669, 0.000)
Li (0.669, 0.331, 0.000)
Br (0.079, 0.425, 0.235)
Br (0.266, 0.266, 0.762)
Br (0.425, 0.079, 0.235)
Br (0.575, 0.921, 0.765)
Br (0.734, 0.734, 0.238)
Br (0.921, 0.575, 0.765)



6.
Computed, not measured: TcSeCl2 after structural relaxation at the PBE-GGA level of DFT.

Computed properties:
The energy relative to the lowest polymorph listed for this composition is 1.178 eV/atom. As for the crystal system: tetragonal. The calculation puts the raw formation energy at 0.820 eV/atom. The space group is P4/mmm, No. 123. The value obtained for the density of states at the Fermi level is 0.6860 states/eV per atom.

Unit cell a=4.385 b=4.385 c=4.341 alpha=90.00 beta=90.00 gamma=90.00
Element x y z (fractional)
Tc (0.000, 0.000, 0.000)
Se (0.500, 0.500, 0.000)
Cl (0.000, 0.500, 0.500)
Cl (0.500, 0.000, 0.500)



7.
Computed, not measured: SiBiS2 after structural relaxation at the PBE-GGA level of DFT.

Computed properties:
The energy relative to the lowest polymorph listed for this composition is 0.366 eV/atom. As for the crystal system: tetragonal. The calculation puts the raw formation energy at 0.096 eV/atom. The space group is I-42d, No. 122. The value obtained for the density of states at the Fermi level is 0.4320 states/eV per atom.

Unit cell a=6.072 b=6.072 c=6.072 alpha=107.76 beta=107.76 gamma=112.95
Element x y z (fractional)
Si (0.000, 0.000, 0.000)
Si (0.750, 0.250, 0.500)
Bi (0.250, 0.750, 0.500)
Bi (0.500, 0.500, 0.000)
S (0.075, 0.625, 0.950)
S (0.375, 0.325, 0.450)
S (0.675, 0.125, 0.050)
S (0.875, 0.925, 0.550)



8.
Computed, not measured: Cs2TlTeSe4 after structural relaxation at the PBE-GGA level of DFT.

Computed properties:
As for the crystal system: orthorhombic. The calculation puts the raw formation energy at -0.512 eV/atom. The space group is Fddd, No. 70. The value obtained for the density of states at the Fermi level is 0.2268 states/eV per atom.

Unit cell a=14.889 b=12.725 c=9.010 alpha=84.64 beta=58.32 gamma=37.05
Element x y z (fractional)
Cs (0.057, 0.057, 0.693)
Cs (0.307, 0.307, 0.943)
Cs (0.693, 0.693, 0.057)
Cs (0.943, 0.943, 0.307)
Tl (0.125, 0.125, 0.125)
Tl (0.875, 0.875, 0.875)
Te (0.375, 0.375, 0.375)
Te (0.625, 0.625, 0.625)
Se (0.022, 0.574, 0.521)
Se (0.382, 0.521, 0.574)
Se (0.426, 0.978, 0.618)
Se (0.479, 0.618, 0.978)
Se (0.521, 0.382, 0.022)
Se (0.574, 0.022, 0.382)
Se (0.618, 0.479, 0.426)
Se (0.978, 0.426, 0.479)



9.
Computed, not measured: Ac2InAs after structural relaxation at the PBE-GGA level of DFT.

Computed properties:
The energy relative to the lowest polymorph listed for this composition is 0.000 eV/atom. As for the crystal system: trigonal. The space group is R-3m, No. 166. The value obtained for the density of states at the Fermi level is 0.5891 states/eV per atom.

Unit cell a=8.950 b=8.950 c=8.950 alpha=28.66 beta=28.66 gamma=28.66
Element x y z (fractional)
Ac (0.239, 0.239, 0.239)
Ac (0.761, 0.761, 0.761)
In (0.000, 0.000, 0.000)
As (0.500, 0.500, 0.500)



10.
Computed, not measured: Cu4POs after structural relaxation at the PBE-GGA level of DFT.

Computed properties:
As for the crystal system: cubic. The space group is F-43m, No. 216. The value obtained for the density of states at the Fermi level is 1.0928 states/eV per atom.

Unit cell a=4.770 b=4.770 c=4.770 alpha=60.00 beta=60.00 gamma=60.00
Element x y z (fractional)
Cu (0.125, 0.125, 0.125)
Cu (0.125, 0.125, 0.624)
Cu (0.125, 0.624, 0.125)
Cu (0.624, 0.125, 0.125)
P (0.750, 0.750, 0.750)
Os (0.500, 0.500, 0.500)



11.
Computed, not measured: ThZnCd after structural relaxation at the PBE-GGA level of DFT.

Computed properties:
As for the crystal system: monoclinic. The space group is Cm, No. 8. The value obtained for the density of states at the Fermi level is 0.8457 states/eV per atom.

Unit cell a=5.985 b=5.985 c=6.734 alpha=111.59 beta=111.59 gamma=42.50
Element x y z (fractional)
Th (0.000, 0.000, 0.000)
Th (0.708, 0.708, 0.462)
Zn (0.268, 0.268, 0.813)
Zn (0.699, 0.699, 0.965)
Cd (0.010, 0.010, 0.522)
Cd (0.357, 0.357, 0.249)



12.
Computed, not measured: Ca2AgO2 after structural relaxation at the PBE-GGA level of DFT.

Computed properties:
The energy relative to the lowest polymorph listed for this composition is 0.000 eV/atom. As for the crystal system: tetragonal. The calculation puts the raw formation energy at -1.735 eV/atom. The space group is I4/mmm, No. 139. The value obtained for the density of states at the Fermi level is 0.3867 states/eV per atom.

Unit cell a=6.218 b=6.218 c=6.218 alpha=139.11 beta=139.11 gamma=59.21
Element x y z (fractional)
Ca (0.189, 0.189, 0.000)
Ca (0.811, 0.811, 0.000)
Ag (0.500, 0.500, 0.000)
O (0.250, 0.750, 0.500)
O (0.750, 0.250, 0.500)



13.
Computed, not measured: TlRh3 after structural relaxation at the PBE-GGA level of DFT.

Computed properties:
As for the crystal system: trigonal. The space group is R-3m, No. 166. The value obtained for the density of states at the Fermi level is 1.8259 states/eV per atom.

Unit cell a=5.223 b=5.223 c=5.223 alpha=116.71 beta=116.71 gamma=116.71
Element x y z (fractional)
Tl (0.000, 0.000, 0.000)
Rh (0.000, 0.500, 0.500)
Rh (0.500, 0.000, 0.500)
Rh (0.500, 0.500, 0.000)



14.
Computed, not measured: Hf5Sn4 after structural relaxation at the PBE-GGA level of DFT.

Computed properties:
The energy relative to the lowest polymorph listed for this composition is 0.000 eV/atom. As for the crystal system: hexagonal. The space group is P6_3/mcm, No. 193. The value obtained for the density of states at the Fermi level is 0.4005 states/eV per atom.

Unit cell a=8.766 b=8.766 c=5.901 alpha=90.00 beta=90.00 gamma=120.00
Element x y z (fractional)
Hf (0.000, 0.283, 0.250)
Hf (0.000, 0.717, 0.750)
Hf (0.283, 0.000, 0.250)
Hf (0.283, 0.283, 0.750)
Hf (0.333, 0.667, 0.000)
Hf (0.333, 0.667, 0.500)
Hf (0.667, 0.333, 0.000)
Hf (0.667, 0.333, 0.500)
Hf (0.717, 0.000, 0.750)
Hf (0.717, 0.717, 0.250)
Sn (0.000, 0.000, 0.000)
Sn (0.000, 0.000, 0.500)
Sn (0.000, 0.386, 0.750)
Sn (0.000, 0.614, 0.250)
Sn (0.386, 0.000, 0.750)
Sn (0.386, 0.386, 0.250)
Sn (0.614, 0.000, 0.250)
Sn (0.614, 0.614, 0.750)



15.
Computed, not measured: LaMgIn2 after structural relaxation at the PBE-GGA level of DFT.

Computed properties:
As for the crystal system: trigonal. The space group is R-3m, No. 166. The value obtained for the density of states at the Fermi level is 0.8489 states/eV per atom.

Unit cell a=10.824 b=10.824 c=10.824 alpha=18.26 beta=18.26 gamma=18.26
Element x y z (fractional)
La (0.000, 0.000, 0.000)
Mg (0.500, 0.500, 0.500)
In (0.243, 0.243, 0.243)
In (0.757, 0.757, 0.757)



16.
Computed, not measured: CdSb2Ir2 after structural relaxation at the PBE-GGA level of DFT.

Computed properties:
The energy relative to the lowest polymorph listed for this composition is 0.000 eV/atom. As for the crystal system: tetragonal. The calculation puts the raw formation energy at 0.026 eV/atom. The space group is I4/mmm, No. 139. The value obtained for the density of states at the Fermi level is 0.5169 states/eV per atom.

Unit cell a=8.566 b=8.566 c=8.566 alpha=152.78 beta=152.78 gamma=38.88
Element x y z (fractional)
Cd (0.000, 0.000, 0.000)
Sb (0.355, 0.355, 0.000)
Sb (0.645, 0.645, 0.000)
Ir (0.250, 0.750, 0.500)
Ir (0.750, 0.250, 0.500)



17.
Computed, not measured: Ce15Sn4Pb after structural relaxation at the PBE-GGA level of DFT.

Computed properties:
As for the crystal system: tetragonal. The space group is P4/mmm, No. 123. The value obtained for the density of states at the Fermi level is 3.0045 states/eV per atom.

Unit cell a=4.805 b=4.805 c=24.002 alpha=90.00 beta=90.00 gamma=90.00
Element x y z (fractional)
Ce (0.000, 0.000, 0.000)
Ce (0.000, 0.000, 0.201)
Ce (0.000, 0.000, 0.400)
Ce (0.000, 0.000, 0.600)
Ce (0.000, 0.000, 0.799)
Ce (0.000, 0.500, 0.102)
Ce (0.000, 0.500, 0.301)
Ce (0.000, 0.500, 0.500)
Ce (0.000, 0.500, 0.699)
Ce (0.000, 0.500, 0.898)
Ce (0.500, 0.000, 0.102)
Ce (0.500, 0.000, 0.301)
Ce (0.500, 0.000, 0.500)
Ce (0.500, 0.000, 0.699)
Ce (0.500, 0.000, 0.898)
Sn (0.500, 0.500, 0.201)
Sn (0.500, 0.500, 0.400)
Sn (0.500, 0.500, 0.600)
Sn (0.500, 0.500, 0.799)
Pb (0.500, 0.500, 0.000)



18.
Computed, not measured: CoSN2 after structural relaxation at the PBE-GGA level of DFT.

Computed properties:
The energy relative to the lowest polymorph listed for this composition is 0.687 eV/atom. As for the crystal system: triclinic. The calculation puts the raw formation energy at 0.649 eV/atom. The space group is P1, No. 1. The value obtained for the density of states at the Fermi level is 0.7387 states/eV per atom.

Unit cell a=3.159 b=4.252 c=4.642 alpha=102.47 beta=100.28 gamma=111.42
Element x y z (fractional)
Co (0.000, 0.000, 0.000)
S (0.047, 0.329, 0.686)
N (0.213, 0.218, 0.401)
N (0.348, 0.752, 0.869)



19.
Computed, not measured: YZn2Os after structural relaxation at the PBE-GGA level of DFT.

Computed properties:
The energy relative to the lowest polymorph listed for this composition is 0.116 eV/atom. As for the crystal system: tetragonal. The space group is P4mm, No. 99. The value obtained for the density of states at the Fermi level is 0.6107 states/eV per atom.

Unit cell a=3.328 b=3.328 c=6.649 alpha=90.00 beta=90.00 gamma=90.00
Element x y z (fractional)
Y (0.000, 0.000, 0.000)
Zn (0.000, 0.000, 0.552)
Zn (0.500, 0.500, 0.342)
Os (0.500, 0.500, 0.741)



20.
Computed, not measured: SrAl2As after structural relaxation at the PBE-GGA level of DFT.

Computed properties:
As for the crystal system: tetragonal. The space group is I-4m2, No. 119. The value obtained for the density of states at the Fermi level is 0.3817 states/eV per atom.

Unit cell a=5.601 b=5.601 c=5.601 alpha=133.09 beta=133.09 gamma=68.51
Element x y z (fractional)
Sr (0.000, 0.000, 0.000)
Al (0.250, 0.750, 0.500)
Al (0.500, 0.500, 0.000)
As (0.750, 0.250, 0.500)



Raw total energy
In order: -3.60, -4.55, -5.32, -5.24, -3.13, -3.57, -4.29, -3.16, -4.75, -4.97, -3.26, -5.09, -5.74, -7.71, -3.17, -5.35, -5.82, -6.32, -5.07, -3.58
Unit: eV/atom